No. 1
LaHoTm2Sc2: optimized geometry, PBE.

Calculated values
magnetization: 0.0 μB/f.u.
energy relative to the elements: 0.28 eV/atom
density of states at the Fermi level: 20.70 states/eV/cell
space-group type: Pnnm
crystal system: orthorhombic
calculated volume: 30.22 A^3/atom

abc: 6.2491 17.4430 3.3274
angles: 90.00 90.00 90.00
Atoms (fractional coordinates):
La 0.0000 0.0000 0.0000
La 0.5000 0.5000 0.5000
Ho 0.0000 0.5000 0.0000
Ho 0.5000 0.0000 0.5000
Tm 0.2109 0.1940 0.0000
Tm 0.2891 0.6940 0.5000
Tm 0.7109 0.3060 0.5000
Tm 0.7891 0.8060 0.0000
Sc 0.2073 0.3542 0.5000
Sc 0.2927 0.8542 0.0000
Sc 0.7073 0.1458 0.0000
Sc 0.7927 0.6458 0.5000

No. 2
BaZr2GaBr: optimized geometry, PBE.

Calculated values
magnetization: 0.1 μB/f.u.
E_form (uncorrected): 0.33 eV/atom
density of states at the Fermi level: 4.90 states/eV/cell
space-group type: P4/mmm
crystal system: tetragonal
calculated volume: 30.29 A^3/atom

abc: 5.1224 5.1224 5.7723
angles: 90.00 90.00 90.00
Atoms (fractional coordinates):
Ba 0.0000 0.0000 0.0000
Zr 0.0000 0.5000 0.5000
Zr 0.5000 0.0000 0.5000
Ga 0.5000 0.5000 0.0000
Br 0.5000 0.5000 0.5000